DFT (PBE-GGA) results for crystalline CdCoHg at its relaxed geometry.

Cell lengths 4.6085, 4.6085, 2.9640 Å; angles 90.00, 90.00, 120.00 degrees
Fractional coordinates of all 3 atoms:
Cd: 0.0000 0.0000 0.9998
Co: 0.3333 0.6667 0.4987
Hg: 0.6667 0.3333 0.5015

Energy relative to the elements: 0.440 eV per atom
Energy above the most stable polymorph in this dataset: 92 meV/atom

=====

DFT (PBE-GGA) results for crystalline CdCo3Hg at its relaxed geometry.

Cell lengths 4.7767, 4.7767, 4.7767 Å; angles 90.00, 90.00, 90.00 degrees
Fractional coordinates of all 5 atoms:
Co: 0.0000 0.5000 0.0000
Co: 0.0000 0.0000 0.5000
Co: 0.5000 0.0000 0.0000
Hg: 0.0000 0.0000 0.0000
Cd: 0.5000 0.5000 0.5000

Energy relative to the elements: 1.534 eV per atom
Energy above the most stable polymorph in this dataset: 0 meV/atom

=====

DFT (PBE-GGA) results for crystalline CdCoHg2 at its relaxed geometry.

Cell lengths 5.2342, 5.2342, 5.2342 Å; angles 132.60, 132.60, 69.28 degrees
Fractional coordinates of all 4 atoms:
Cd: 0.2500 0.7500 0.5000
Co: 0.7500 0.2500 0.5000
Hg: 0.0000 0.0000 0.0000
Hg: 0.5000 0.5000 0.0000

Energy relative to the elements: 0.403 eV per atom

=====

DFT (PBE-GGA) results for crystalline CdCoHg2 at its relaxed geometry.

Cell lengths 6.9243, 6.9243, 4.4948 Å; angles 71.04, 71.04, 24.24 degrees
Fractional coordinates of all 4 atoms:
Cd: 0.5702 0.5702 0.4293
Co: 0.2505 0.2505 0.2494
Hg: 0.9327 0.9327 0.0678
Hg: 0.7465 0.7465 0.7535

Energy relative to the elements: 0.241 eV per atom

=====

DFT (PBE-GGA) results for crystalline CdCoHg2 at its relaxed geometry.

Cell lengths 9.8628, 9.8628, 9.8628 Å; angles 17.98, 17.98, 17.98 degrees
Fractional coordinates of all 4 atoms:
Cd: 0.2500 0.2500 0.2500
Co: 0.7500 0.7500 0.7500
Hg: 0.0114 0.0114 0.0114
Hg: 0.4886 0.4886 0.4886

Energy relative to the elements: 0.361 eV per atom

=====

DFT (PBE-GGA) results for crystalline CdCo2Hg at its relaxed geometry.

Cell lengths 5.2241, 5.2241, 4.5933 Å; angles 67.18, 67.18, 34.35 degrees
Fractional coordinates of all 4 atoms:
Cd: 0.2651 0.2651 0.2251
Co: 0.0323 0.0323 0.9794
Co: 0.7207 0.7207 0.7675
Hg: 0.4819 0.4819 0.5280

Energy relative to the elements: 0.368 eV per atom